Compound: Tl9SbSe6
Source: Alexandria via LeMat-Bulk
Functional: PBEsol
Structure: relaxed

* total magnetic moment: 0.00 μB/f.u.
* crystal system: tetragonal
* space-group type: P4 (75)
* electronic total energy: -3.52 eV/atom
* uncorrected formation energy: -0.3160 eV per atom

Cell: 11.803 11.803 12.609 Å, 90.00 90.00 90.00°
Element x y z (fractional)
Tl (0.000, 0.000, 0.000)
Tl (0.000, 0.500, 0.570)
Tl (0.101, 0.730, 0.381)
Tl (0.101, 0.765, 0.690)
Tl (0.103, 0.269, 0.879)
Tl (0.104, 0.228, 0.194)
Tl (0.228, 0.896, 0.194)
Tl (0.231, 0.607, 0.877)
Tl (0.233, 0.399, 0.388)
Tl (0.235, 0.101, 0.690)
Tl (0.267, 0.606, 0.195)
Tl (0.269, 0.897, 0.879)
Tl (0.270, 0.101, 0.381)
Tl (0.271, 0.403, 0.688)
Tl (0.393, 0.231, 0.877)
Tl (0.394, 0.267, 0.195)
Tl (0.399, 0.767, 0.388)
Tl (0.403, 0.729, 0.688)
Tl (0.500, 0.000, 0.570)
Tl (0.500, 0.500, 0.499)
Tl (0.597, 0.271, 0.688)
Tl (0.601, 0.233, 0.388)
Tl (0.606, 0.733, 0.195)
Tl (0.607, 0.769, 0.877)
Tl (0.729, 0.597, 0.688)
Tl (0.730, 0.899, 0.381)
Tl (0.731, 0.103, 0.879)
Tl (0.733, 0.394, 0.195)
Tl (0.765, 0.899, 0.690)
Tl (0.767, 0.601, 0.388)
Tl (0.769, 0.393, 0.877)
Tl (0.772, 0.104, 0.194)
Tl (0.896, 0.772, 0.194)
Tl (0.897, 0.731, 0.879)
Tl (0.899, 0.235, 0.690)
Tl (0.899, 0.270, 0.381)
Sb (0.000, 0.000, 0.515)
Sb (0.000, 0.500, 0.057)
Sb (0.500, 0.000, 0.057)
Sb (0.500, 0.500, 0.018)
Se (0.000, 0.000, 0.296)
Se (0.000, 0.000, 0.761)
Se (0.000, 0.500, 0.268)
Se (0.000, 0.500, 0.811)
Se (0.083, 0.732, 0.041)
Se (0.087, 0.232, 0.531)
Se (0.232, 0.913, 0.531)
Se (0.252, 0.596, 0.535)
Se (0.253, 0.422, 0.035)
Se (0.268, 0.083, 0.041)
Se (0.404, 0.252, 0.535)
Se (0.422, 0.747, 0.035)
Se (0.500, 0.000, 0.268)
Se (0.500, 0.000, 0.811)
Se (0.500, 0.500, 0.255)
Se (0.500, 0.500, 0.800)
Se (0.578, 0.253, 0.035)
Se (0.596, 0.748, 0.535)
Se (0.732, 0.917, 0.041)
Se (0.747, 0.578, 0.035)
Se (0.748, 0.404, 0.535)
Se (0.768, 0.087, 0.531)
Se (0.913, 0.768, 0.531)
Se (0.917, 0.268, 0.041)

Compound: SbW2Se
Source: Alexandria via LeMat-Bulk
Functional: PBEsol
Structure: relaxed

* total magnetic moment: 0.00 μB/f.u.
* crystal system: tetragonal
* space-group type: P4/mmm (123)
* electronic total energy: -8.44 eV/atom
* uncorrected formation energy: 0.5635 eV per atom
* ΔE to the lowest computed polymorph: 390 meV per atom

Cell: 4.569 4.569 3.178 Å, 90.00 90.00 90.00°
Element x y z (fractional)
Sb (0.000, 0.000, 0.000)
W (0.000, 0.500, 0.500)
W (0.500, 0.000, 0.500)
Se (0.500, 0.500, 0.000)

Compound: Sb2WSe
Source: Alexandria via LeMat-Bulk
Functional: PBEsol
Structure: relaxed

* total magnetic moment: 0.00 μB/f.u.
* crystal system: monoclinic
* space-group type: Cm (8)
* electronic total energy: -6.56 eV/atom
* uncorrected formation energy: 0.1380 eV per atom

Cell: 4.725 4.725 6.583 Å, 106.90 106.90 40.82°
Element x y z (fractional)
Sb (0.000, 0.000, 0.000)
Sb (0.198, 0.198, 0.717)
W (0.639, 0.639, 0.356)
Se (0.351, 0.351, 0.353)

Compound: SbWSe
Source: Alexandria via LeMat-Bulk
Functional: PBEsol
Structure: relaxed

* total magnetic moment: 0.00 μB/f.u.
* crystal system: trigonal
* space-group type: P3m1 (156)
* electronic total energy: -7.39 eV/atom
* uncorrected formation energy: 0.0135 eV per atom
* ΔE to the lowest computed polymorph: 0 meV per atom

Cell: 3.181 3.181 7.561 Å, 90.00 90.00 120.00°
Element x y z (fractional)
Sb (0.000, 0.000, 0.000)
W (0.667, 0.333, 0.295)
Se (0.333, 0.667, 0.519)

Compound: SbW2Se
Source: Alexandria via LeMat-Bulk
Functional: PBEsol
Structure: relaxed

* total magnetic moment: 0.00 μB/f.u.
* crystal system: trigonal
* space-group type: R3m (160)
* electronic total energy: -8.83 eV/atom
* uncorrected formation energy: 0.1734 eV per atom
* ΔE to the lowest computed polymorph: 0 meV per atom

Cell: 9.927 9.927 9.927 Å, 18.04 18.04 18.04°
Element x y z (fractional)
Sb (0.000, 0.000, 0.000)
W (0.259, 0.259, 0.259)
W (0.521, 0.521, 0.521)
Se (0.794, 0.794, 0.794)

Compound: Sb3WSe
Source: Alexandria via LeMat-Bulk
Functional: PBEsol
Structure: relaxed

* total magnetic moment: 0.00 μB/f.u.
* crystal system: cubic
* space-group type: Pm-3m (221)
* electronic total energy: -5.74 eV/atom
* uncorrected formation energy: 0.5269 eV per atom

Cell: 5.132 5.132 5.132 Å, 90.00 90.00 90.00°
Element x y z (fractional)
Sb (0.000, 0.000, 0.500)
Sb (0.000, 0.500, 0.000)
Sb (0.500, 0.000, 0.000)
W (0.000, 0.000, 0.000)
Se (0.500, 0.500, 0.500)

What is the uncorrected formation energy in the fourth record? 0.0135 eV per atom

electronic total energy of number 2 (SbW2Se)? -8.44 eV/atom

Copy entry 6 word for word.
Compound: Sb3WSe
Source: Alexandria via LeMat-Bulk
Functional: PBEsol
Structure: relaxed

* total magnetic moment: 0.00 μB/f.u.
* crystal system: cubic
* space-group type: Pm-3m (221)
* electronic total energy: -5.74 eV/atom
* uncorrected formation energy: 0.5269 eV per atom

Cell: 5.132 5.132 5.132 Å, 90.00 90.00 90.00°
Element x y z (fractional)
Sb (0.000, 0.000, 0.500)
Sb (0.000, 0.500, 0.000)
Sb (0.500, 0.000, 0.000)
W (0.000, 0.000, 0.000)
Se (0.500, 0.500, 0.500)